1.
The following is a DFT calculation (GGA-PBE) of VHRu2 after structural relaxation.

density of states at the Fermi level	2.71	states/eV/f.u.
offset from the most stable computed form	0.202	eV per atom
uncorrected energy	-7.595	eV/atom
spin magnetization	0.00	μB/f.u.

abc: 2.852 2.852 5.613
angles: 90.00 90.00 90.00
Positions (direct):
Ru1 0.000 0.000 0.279
H1 0.500 0.500 0.500
V1 0.500 0.500 0.000
Ru2 0.000 0.000 0.721

***

2.
The following is a DFT calculation (GGA-PBE) of BaNdAs2 after structural relaxation.

density of states at the Fermi level	3.13	states/eV/f.u.
offset from the most stable computed form	0.060	eV per atom
uncorrected energy	-5.073	eV/atom
formation enthalpy at 0 K	-4.3	eV per formula unit
spin magnetization	0.00	μB/f.u.

abc: 4.355 4.355 8.300
angles: 74.79 74.79 60.00
Positions (direct):
As1 0.261 0.261 0.216
As2 0.073 0.073 0.782
Ba1 0.497 0.497 0.509
Nd1 0.669 0.669 0.993

***

3.
The following is a DFT calculation (GGA-PBE) of Tb2PaH after structural relaxation.

density of states at the Fermi level	4.68	states/eV/f.u.
offset from the most stable computed form	0.000	eV per atom
uncorrected energy	-5.426	eV/atom
spin magnetization	0.00	μB/f.u.

abc: 3.303 3.303 9.492
angles: 79.98 79.98 60.00
Positions (direct):
H1 0.500 0.500 0.500
Tb1 0.115 0.115 0.654
Tb2 0.885 0.885 0.346
Pa1 0.000 0.000 0.000

***

4.
The following is a DFT calculation (GGA-PBE) of K2NdInTe4 after structural relaxation.

density of states at the Fermi level	1.69	states/eV/f.u.
uncorrected energy	-3.737	eV/atom
spin magnetization	0.00	μB/f.u.
E_form (uncorrected)	-0.95	eV per atom

abc: 9.411 9.411 9.487
angles: 120.26 120.26 90.88
Positions (direct):
K1 0.000 0.000 0.500
K2 0.500 0.000 0.000
Te1 0.241 0.259 0.463
K3 0.500 0.000 0.500
Te2 0.220 0.743 0.981
In1 0.000 0.000 0.000
Nd1 0.000 0.500 0.500
K4 0.500 0.500 0.000
Te3 0.243 0.720 0.481
Nd2 0.000 0.500 0.000
Te4 0.780 0.257 0.019
Te5 0.759 0.741 0.963
Te6 0.241 0.259 0.037
Te7 0.759 0.741 0.537
Te8 0.757 0.280 0.519
In2 0.500 0.500 0.500

***

5.
The following is a DFT calculation (GGA-PBE) of Ce6CdPb2 after structural relaxation.

density of states at the Fermi level	25.20	states/eV/f.u.
uncorrected energy	-5.018	eV/atom
formation enthalpy at 0 K	-1.2	eV per formula unit
spin magnetization	4.27	μB/f.u.

abc: 3.203 9.177 9.177
angles: 120.00 90.00 90.00
Site moments in Bohr magnetons follow the coordinates.
Positions (direct):
Ce1 0.500 0.000 0.323  0.60
Ce2 0.500 0.323 0.000  0.60
Ce3 0.500 0.677 0.677  0.60
Pb1 0.000 0.333 0.667  -0.02
Pb2 0.000 0.667 0.333  -0.02
Ce4 0.500 0.677 0.000  0.60
Cd1 0.000 0.000 0.000  -0.01
Ce5 0.500 0.000 0.677  0.60
Ce6 0.500 0.323 0.323  0.60

***

6.
The following is a DFT calculation (GGA-PBE) of SrDy2Th after structural relaxation.

density of states at the Fermi level	5.02	states/eV/f.u.
offset from the most stable computed form	0.000	eV per atom
uncorrected energy	-4.482	eV/atom
formation enthalpy at 0 K	0.4	eV per formula unit
spin magnetization	0.00	μB/f.u.

abc: 3.687 3.687 10.599
angles: 90.00 90.00 90.00
Positions (direct):
Dy1 0.000 0.000 0.216
Dy2 0.000 0.000 0.784
Sr1 0.500 0.500 0.500
Th1 0.500 0.500 0.000

***

7.
The following is a DFT calculation (GGA-PBE) of ReNiSb2Te after structural relaxation.

density of states at the Fermi level	4.15	states/eV/f.u.
offset from the most stable computed form	0.021	eV per atom
uncorrected energy	-4.786	eV/atom
spin magnetization	2.10	μB/f.u.
E_form (uncorrected)	1.14	eV per atom

abc: 4.815 4.815 5.043
angles: 90.00 90.00 90.00
Site moments in Bohr magnetons follow the coordinates.
Positions (direct):
Ni1 0.000 0.000 0.000  -0.07
Sb1 0.500 0.000 0.000  -0.08
Te1 0.000 0.000 0.500  -0.08
Re1 0.500 0.500 0.500  2.18
Sb2 0.000 0.500 0.000  -0.08

***

8.
The following is a DFT calculation (GGA-PBE) of Li3CeGa2 after structural relaxation.

density of states at the Fermi level	4.90	states/eV/f.u.
uncorrected energy	-3.267	eV/atom
formation enthalpy at 0 K	-1.9	eV per formula unit
spin magnetization	0.38	μB/f.u.

abc: 4.449 6.863 9.049
angles: 118.58 90.00 108.91
Site moments in Bohr magnetons follow the coordinates.
Positions (direct):
Li1 0.056 0.112 0.405  0.00
Ga1 0.414 0.829 0.774  -0.01
Li2 0.944 0.888 0.595  0.00
Li3 0.738 0.475 0.582  0.00
Li4 0.585 0.170 0.696  0.00
Ce1 0.891 0.781 0.997  0.38
Ga2 0.789 0.579 0.246  0.00
Ga3 0.586 0.171 0.226  -0.01
Ga4 0.211 0.421 0.754  0.00
Li5 0.262 0.525 0.418  0.00
Li6 0.415 0.830 0.304  0.00
Ce2 0.109 0.219 0.003  0.38

***

9.
The following is a DFT calculation (GGA-PBE) of AlTcAu2 after structural relaxation.

density of states at the Fermi level	3.77	states/eV/f.u.
uncorrected energy	-5.069	eV/atom
formation enthalpy at 0 K	0.4	eV per formula unit
spin magnetization	0.01	μB/f.u.

abc: 4.267 2.863 5.561
angles: 73.97 90.00 90.00
Positions (direct):
Al1 0.500 0.750 0.750
Au1 0.000 0.896 0.993
Au2 0.000 0.604 0.507
Tc1 0.500 0.250 0.250

***

10.
The following is a DFT calculation (GGA-PBE) of VFe4Rh5 after structural relaxation.

density of states at the Fermi level	10.82	states/eV/f.u.
uncorrected energy	-8.067	eV/atom
formation enthalpy at 0 K	-0.9	eV per formula unit
spin magnetization	1.32	μB/f.u.

abc: 3.094 3.094 14.192
angles: 90.00 90.00 90.00
Site moments in Bohr magnetons follow the coordinates.
Positions (direct):
V1 0.000 0.000 0.000  -0.64
Fe1 0.000 0.000 0.800  3.05
Rh1 0.500 0.500 0.902  0.34
Fe2 0.000 0.000 0.397  -3.15
Rh2 0.500 0.500 0.702  -0.08
Rh3 0.500 0.500 0.098  0.34
Fe3 0.000 0.000 0.200  3.05
Fe4 0.000 0.000 0.603  -3.15
Rh4 0.500 0.500 0.500  -0.94
Rh5 0.500 0.500 0.298  -0.08

***

11.
The following is a DFT calculation (GGA-PBE) of NaTaNi2 after structural relaxation.

density of states at the Fermi level	2.99	states/eV/f.u.
offset from the most stable computed form	0.000	eV per atom
uncorrected energy	-5.809	eV/atom
formation enthalpy at 0 K	1.5	eV per formula unit
spin magnetization	0.00	μB/f.u.

abc: 4.354 4.354 4.354
angles: 60.00 60.00 60.00
Positions (direct):
Ta1 0.500 0.500 0.500
Ni1 0.250 0.250 0.250
Ni2 0.750 0.750 0.750
Na1 0.000 0.000 0.000

***

12.
The following is a DFT calculation (GGA-PBE) of PrDyYAl after structural relaxation.

density of states at the Fermi level	3.38	states/eV/f.u.
offset from the most stable computed form	0.000	eV per atom
uncorrected energy	-5.097	eV/atom
formation enthalpy at 0 K	-0.8	eV per formula unit
spin magnetization	0.00	μB/f.u.

abc: 3.555 3.555 9.134
angles: 90.00 90.00 90.00
Positions (direct):
Y1 0.500 0.500 0.778
Dy1 0.500 0.500 0.363
Al1 0.000 0.000 0.570
Pr1 0.000 0.000 0.073

***

Among the records above, which one has the lowest uncorrected energy?
VFe4Rh5

***

The highest uncorrected energy belongs to which entry?
Li3CeGa2

***

Number 8 is which compound?
Li3CeGa2